1.
Material: NaHfMn2Te
Method: DFT, PBE
State: relaxed

Cell: 4.674 5.243 4.674 Å, 90.00 90.00 90.00°
Element x y z (fractional)
Mn (0.000, 0.000, 0.500)
Na (0.000, 0.000, 0.000)
Mn (0.500, 0.000, 0.000)
Te (0.500, 0.500, 0.500)
Hf (0.000, 0.500, 0.000)

Computed properties:
Uncorrected formation energy = 1.386 eV per atom
Crystal system = tetragonal

2.
Material: PmTmLuSn
Method: DFT, PBE
State: relaxed

Cell: 5.387 5.387 5.387 Å, 60.00 60.00 60.00°
Element x y z (fractional)
Sn (0.000, 0.000, 0.000)
Pm (0.500, 0.500, 0.500)
Tm (0.750, 0.750, 0.750)
Lu (0.250, 0.250, 0.250)

Computed properties:
Crystal system = cubic

3.
Material: YTa2AlCr
Method: DFT, PBE
State: relaxed

Cell: 4.975 4.433 4.975 Å, 90.00 90.00 90.00°
Element x y z (fractional)
Al (0.500, 0.500, 0.500)
Ta (0.500, 0.000, 0.000)
Y (0.000, 0.000, 0.000)
Cr (0.000, 0.500, 0.000)
Ta (0.000, 0.000, 0.500)

Computed properties:
Crystal system = tetragonal

4.
Material: PmPu2Sc
Method: DFT, PBE
State: relaxed

Cell: 3.347 3.347 9.917 Å, 90.00 90.00 90.00°
Element x y z (fractional)
Pu (0.000, 0.000, 0.235)
Pm (0.500, 0.500, 0.500)
Sc (0.500, 0.500, 0.000)
Pu (0.000, 0.000, 0.765)

Computed properties:
Crystal system = tetragonal

5.
Material: Zr8Fe
Method: DFT, PBE
State: relaxed

Cell: 7.097 7.097 7.097 Å, 95.34 95.34 144.47°
Element x y z (fractional)
Fe (0.000, 0.000, 0.000)
Zr (0.669, 0.000, 0.669)
Zr (0.661, 0.661, 0.323)
Zr (0.331, 0.000, 0.331)
Zr (0.661, 0.339, 0.000)
Zr (0.000, 0.331, 0.331)
Zr (0.000, 0.669, 0.669)
Zr (0.339, 0.339, 0.677)
Zr (0.339, 0.661, 0.000)

Computed properties:
Crystal system = tetragonal

6.
Material: Be2InO
Method: DFT, PBE
State: relaxed

Cell: 5.034 5.034 5.421 Å, 62.34 62.34 90.00°
Element x y z (fractional)
O (0.250, 0.750, 0.500)
Be (0.375, 0.532, 0.750)
Be (0.282, 0.625, 0.250)
Be (0.875, 0.718, 0.750)
In (0.000, 0.000, 0.000)
In (0.750, 0.250, 0.500)
Be (0.468, 0.125, 0.250)
O (0.500, 0.500, 0.000)

Computed properties:
Uncorrected formation energy = -0.705 eV per atom
Crystal system = tetragonal

7.
Material: Ac3MgAl
Method: DFT, PBE
State: relaxed

Cell: 5.724 5.719 11.134 Å, 90.00 75.11 90.00°
Element x y z (fractional)
Ac (0.257, 0.750, 0.134)
Ac (0.890, 0.750, 0.868)
Ac (0.758, 0.250, 0.132)
Al (0.983, 0.250, 0.683)
Mg (0.166, 0.250, 0.316)
Al (0.666, 0.750, 0.317)
Mg (0.482, 0.750, 0.684)
Ac (0.074, 0.750, 0.501)
Ac (0.575, 0.250, 0.499)
Ac (0.391, 0.250, 0.866)

Computed properties:
Crystal system = orthorhombic

8.
Material: RbPm2MnTe4
Method: DFT, PBE
State: relaxed

Cell: 4.484 8.151 15.774 Å, 90.00 90.00 105.97°
Element x y z (fractional)
Rb (0.890, 0.780, 0.250)
Pm (0.368, 0.737, 0.940)
Te (0.000, 0.000, 0.500)
Te (0.734, 0.469, 0.887)
Pm (0.632, 0.263, 0.060)
Mn (0.834, 0.669, 0.750)
Pm (0.632, 0.263, 0.440)
Te (0.000, 0.000, 0.000)
Te (0.734, 0.469, 0.613)
Te (0.433, 0.865, 0.750)
Te (0.266, 0.531, 0.113)
Mn (0.166, 0.331, 0.250)
Te (0.567, 0.135, 0.250)
Te (0.266, 0.531, 0.387)
Pm (0.368, 0.737, 0.560)
Rb (0.110, 0.220, 0.750)

Computed properties:
Uncorrected formation energy = -1.103 eV per atom
Crystal system = orthorhombic

9.
Material: La2TbSm4Th
Method: DFT, PBE
State: relaxed

Cell: 6.065 6.061 9.572 Å, 50.81 90.00 90.00°
Element x y z (fractional)
Sm (0.500, 0.754, 0.246)
La (0.500, 0.000, 0.500)
Sm (0.000, 0.746, 0.754)
Sm (0.000, 0.254, 0.246)
La (0.000, 0.000, 0.000)
Th (0.500, 0.500, 0.000)
Sm (0.500, 0.246, 0.754)
Tb (0.000, 0.500, 0.500)

Computed properties:
Crystal system = monoclinic

10.
Material: TbPmGdHg
Method: DFT, PBE
State: relaxed

Cell: 5.459 5.459 5.459 Å, 60.00 60.00 60.00°
Element x y z (fractional)
Tb (0.500, 0.500, 0.500)
Hg (0.250, 0.250, 0.250)
Pm (0.750, 0.750, 0.750)
Gd (0.000, 0.000, 0.000)

Computed properties:
Crystal system = cubic

11.
Material: Nb2Cu5Pd12
Method: DFT, PBE
State: relaxed

Cell: 5.466 7.661 8.289 Å, 103.83 90.00 110.90°
Element x y z (fractional)
Pd (0.601, 0.709, 0.394)
Cu (0.640, 0.280, 0.865)
Pd (0.523, 0.046, 0.326)
Pd (0.399, 0.291, 0.606)
Cu (0.360, 0.720, 0.135)
Pd (0.050, 0.605, 0.881)
Pd (0.087, 0.174, 0.282)
Pd (0.477, 0.954, 0.674)
Pd (0.445, 0.395, 0.119)
Cu (0.704, 0.408, 0.388)
Pd (0.950, 0.395, 0.119)
Pd (0.108, 0.709, 0.394)
Nb (0.259, 0.000, 0.000)
Cu (0.000, 0.000, 0.500)
Pd (0.892, 0.291, 0.606)
Nb (0.741, 0.000, 0.000)
Pd (0.555, 0.605, 0.881)
Pd (0.913, 0.826, 0.718)
Cu (0.296, 0.592, 0.612)

Computed properties:
Crystal system = monoclinic

12.
Material: KTc2Te
Method: DFT, PBE
State: relaxed

Cell: 9.912 9.912 9.912 Å, 18.41 18.41 18.41°
Element x y z (fractional)
Tc (0.517, 0.517, 0.517)
K (0.750, 0.750, 0.750)
Tc (0.983, 0.983, 0.983)
Te (0.250, 0.250, 0.250)

Computed properties:
Uncorrected formation energy = 0.943 eV per atom
Crystal system = trigonal

13.
Material: Cs3Ag
Method: DFT, PBE
State: relaxed

Cell: 6.509 6.509 6.509 Å, 90.00 90.00 90.00°
Element x y z (fractional)
Cs (0.500, 0.000, 0.500)
Cs (0.000, 0.500, 0.500)
Ag (0.000, 0.000, 0.000)
Cs (0.500, 0.500, 0.000)

Computed properties:
Crystal system = cubic

14.
Material: RbTi4
Method: DFT, PBE
State: relaxed

Cell: 4.682 4.682 4.682 Å, 90.00 90.00 90.00°
Element x y z (fractional)
Ti (0.500, 0.500, 0.000)
Ti (0.500, 0.000, 0.500)
Rb (0.500, 0.500, 0.500)
Ti (0.000, 0.500, 0.500)
Ti (0.000, 0.000, 0.000)

Computed properties:
Crystal system = cubic

15.
Material: CrSiOs3
Method: DFT, PBE
State: relaxed

Cell: 4.326 4.326 4.326 Å, 90.00 90.00 90.00°
Element x y z (fractional)
Os (0.000, 0.000, 0.500)
Os (0.000, 0.500, 0.000)
Si (0.000, 0.000, 0.000)
Cr (0.500, 0.500, 0.500)
Os (0.500, 0.000, 0.000)

Computed properties:
Uncorrected formation energy = 1.393 eV per atom
Crystal system = cubic

16.
Material: TmPbAu2
Method: DFT, PBE
State: relaxed

Cell: 4.105 4.690 4.690 Å, 90.00 90.00 90.00°
Element x y z (fractional)
Au (0.000, 0.500, 0.000)
Tm (0.500, 0.500, 0.500)
Pb (0.500, 0.000, 0.000)
Au (0.000, 0.000, 0.500)

Computed properties:
Crystal system = tetragonal

17.
Material: Ac2InPt6Pb
Method: DFT, PBE
State: relaxed

Cell: 7.173 7.173 7.173 Å, 60.00 60.00 90.00°
Element x y z (fractional)
Pt (0.753, 0.753, 0.495)
Pt (0.247, 0.753, 0.000)
Pb (0.500, 0.500, 0.000)
Ac (0.250, 0.750, 0.500)
Pt (0.753, 0.753, 0.000)
Ac (0.750, 0.250, 0.500)
Pt (0.247, 0.247, 0.000)
Pt (0.753, 0.247, 0.000)
In (0.000, 0.000, 0.000)
Pt (0.247, 0.247, 0.505)

Computed properties:
Crystal system = cubic

18.
Material: Pr4Sm4In
Method: DFT, PBE
State: relaxed

Cell: 5.030 8.132 8.132 Å, 84.51 71.98 71.98°
Element x y z (fractional)
Pr (0.339, 0.322, 0.000)
Pr (0.661, 0.000, 0.678)
Sm (0.666, 0.334, 0.334)
In (0.000, 0.000, 0.000)
Pr (0.339, 0.000, 0.322)
Sm (0.000, 0.334, 0.666)
Pr (0.661, 0.678, 0.000)
Sm (0.334, 0.666, 0.666)
Sm (0.000, 0.666, 0.334)

Computed properties:
Crystal system = tetragonal

19.
Material: Pr3NdY6Th2
Method: DFT, PBE
State: relaxed

Cell: 6.285 6.285 11.864 Å, 95.09 95.09 120.00°
Element x y z (fractional)
Th (0.667, 0.333, 0.000)
Pr (0.166, 0.834, 0.500)
Y (0.257, 0.257, 0.755)
Y (0.743, 0.743, 0.245)
Y (0.082, 0.420, 0.245)
Y (0.918, 0.580, 0.755)
Th (0.333, 0.667, 0.000)
Nd (0.000, 0.000, 0.000)
Y (0.580, 0.918, 0.755)
Pr (0.834, 0.166, 0.500)
Pr (0.500, 0.500, 0.500)
Y (0.420, 0.082, 0.245)

Computed properties:
Crystal system = monoclinic

20.
Material: Tb2Er3Ag3
Method: DFT, PBE
State: relaxed

Cell: 3.662 5.215 11.166 Å, 103.50 99.44 90.00°
Element x y z (fractional)
Er (0.620, 0.620, 0.239)
Er (0.380, 0.380, 0.761)
Ag (0.116, 0.116, 0.231)
Tb (0.268, 0.768, 0.537)
Ag (0.884, 0.884, 0.769)
Ag (0.000, 0.500, 0.000)
Tb (0.732, 0.232, 0.463)
Er (0.500, 0.000, 0.000)

Computed properties:
Crystal system = orthorhombic

21.
Material: TlRuPb2Br
Method: DFT, PBE
State: relaxed

Cell: 5.260 5.260 5.376 Å, 90.00 90.00 90.00°
Element x y z (fractional)
Br (0.500, 0.500, 0.500)
Ru (0.000, 0.000, 0.000)
Tl (0.000, 0.000, 0.500)
Pb (0.000, 0.500, 0.000)
Pb (0.500, 0.000, 0.000)

Computed properties:
Uncorrected formation energy = -0.151 eV per atom
Crystal system = tetragonal

22.
Material: MnTeCl2
Method: DFT, PBE
State: relaxed

Cell: 6.998 6.998 6.998 Å, 153.86 122.61 64.11°
Element x y z (fractional)
Cl (0.603, 0.603, 0.000)
Mn (0.750, 0.250, 0.500)
Cl (0.897, 0.897, 0.000)
Te (0.250, 0.750, 0.500)

Computed properties:
Uncorrected formation energy = -0.423 eV per atom
Crystal system = orthorhombic

23.
Material: Y3ErIn
Method: DFT, PBE
State: relaxed

Cell: 4.832 4.832 12.758 Å, 90.00 79.08 90.00°
Element x y z (fractional)
Y (0.274, 0.750, 0.101)
Y (0.575, 0.250, 0.499)
Er (0.174, 0.250, 0.301)
In (0.672, 0.750, 0.304)
Y (0.074, 0.750, 0.501)
Y (0.770, 0.250, 0.107)
Y (0.878, 0.750, 0.893)
In (0.976, 0.250, 0.696)
Y (0.375, 0.250, 0.899)
Er (0.475, 0.750, 0.699)

Computed properties:
Crystal system = orthorhombic

24.
Material: Rb2MnP2
Method: DFT, PBE
State: relaxed

Cell: 9.972 9.972 2.851 Å, 90.00 90.00 90.00°
Element x y z (fractional)
P (0.822, 0.322, 0.500)
Mn (0.500, 0.500, 0.000)
Mn (0.000, 0.000, 0.000)
P (0.322, 0.178, 0.500)
Rb (0.878, 0.622, 0.000)
P (0.678, 0.822, 0.500)
P (0.178, 0.678, 0.500)
Rb (0.122, 0.378, 0.000)
Rb (0.622, 0.122, 0.000)
Rb (0.378, 0.878, 0.000)

Computed properties:
Crystal system = tetragonal

25.
Material: CaCeAlCu
Method: DFT, PBE
State: relaxed

Cell: 5.135 5.135 5.135 Å, 60.00 60.00 60.00°
Element x y z (fractional)
Ce (0.000, 0.000, 0.000)
Ca (0.500, 0.500, 0.500)
Cu (0.250, 0.250, 0.250)
Al (0.750, 0.750, 0.750)

Computed properties:
Crystal system = cubic

Computed VASP energy, in the same sequence as the records: -5.164; -4.608; -6.436; -9.743; -8.426; -4.492; -3.642; -5.128; -4.973; -5.991; -5.280; -5.300; -1.222; -4.505; -8.354; -4.167; -5.223; -4.598; -6.039; -4.158; -4.298; -4.424; -5.527; -3.054; -4.057 eV/atom.
Computed V, in the same sequence as the records: 22.9; 27.6; 21.9; 27.8; 22.0; 13.0; 35.2; 34.6; 34.1; 28.8; 16.5; 21.2; 68.9; 20.5; 16.2; 22.6; 26.1; 33.4; 33.3; 25.5; 29.8; 31.5; 29.2; 28.4; 23.9 Å³ per atom.